[1]
This record from the Open Quantum Materials Database describes an optimized crystal structure of CsNaTePd. The functional is PBE.

Output
For the calculated volume, the calculation gives 438.0 Å³/cell. The calculation puts the energy above the most stable polymorph in this dataset at 0.0 meV per atom.

CIF file:
```
data_CsNaTePd
_cell_length_a 7.595
_cell_length_b 7.595
_cell_length_c 7.595
_cell_angle_alpha 90.00
_cell_angle_beta 90.00
_cell_angle_gamma 90.00
_space_group_name_H-M_alt 'F -4 3 m'
_space_group_IT_number 216
_space_group_name_Hall 'F -4 2 3'
loop_
_atom_site_label
_atom_site_type_symbol
_atom_site_fract_x
_atom_site_fract_y
_atom_site_fract_z
Cs1 Cs 0.000 0.000 0.000
Na1 Na 0.250 0.250 0.750
Te1 Te 0.000 0.000 0.500
Pd1 Pd 0.250 0.250 0.250
```

[2]
This record from the Open Quantum Materials Database describes an optimized crystal structure of CsNaTePd. The functional is PBE.

Output
For the calculated volume, the calculation gives 526.3 Å³/cell. The calculation puts the energy above the most stable polymorph in this dataset at 235.1 meV per atom.

CIF file:
```
data_CsNaTePd
_cell_length_a 8.074
_cell_length_b 8.074
_cell_length_c 8.074
_cell_angle_alpha 90.00
_cell_angle_beta 90.00
_cell_angle_gamma 90.00
_space_group_name_H-M_alt 'F -4 3 m'
_space_group_IT_number 216
_space_group_name_Hall 'F -4 2 3'
loop_
_atom_site_label
_atom_site_type_symbol
_atom_site_fract_x
_atom_site_fract_y
_atom_site_fract_z
Cs1 Cs 0.000 0.000 0.000
Na1 Na 0.000 0.000 0.500
Te1 Te 0.250 0.250 0.250
Pd1 Pd 0.250 0.250 0.750
```

[3]
This record from the Open Quantum Materials Database describes an optimized crystal structure of CsNaTePd. The functional is PBE.

Output
For the calculated volume, the calculation gives 466.7 Å³/cell. The calculation puts the energy above the most stable polymorph in this dataset at 139.8 meV per atom.

CIF file:
```
data_CsNaTePd
_cell_length_a 7.757
_cell_length_b 7.757
_cell_length_c 7.757
_cell_angle_alpha 90.00
_cell_angle_beta 90.00
_cell_angle_gamma 90.00
_space_group_name_H-M_alt 'F -4 3 m'
_space_group_IT_number 216
_space_group_name_Hall 'F -4 2 3'
loop_
_atom_site_label
_atom_site_type_symbol
_atom_site_fract_x
_atom_site_fract_y
_atom_site_fract_z
Cs1 Cs 0.000 0.000 0.000
Na1 Na 0.250 0.250 0.250
Te1 Te 0.250 0.250 0.750
Pd1 Pd 0.000 0.000 0.500
```

[4]
This record from the Open Quantum Materials Database describes an optimized crystal structure of CsNaTe3Pd. The functional is PBE.

Output
For the calculated total energy, the calculation gives -78.94 eV per cell. For the calculated volume, the calculation gives 779.9 Å³/cell.

CIF file:
```
data_CsNaTe3Pd
_cell_length_a 4.152
_cell_length_b 16.834
_cell_length_c 11.159
_cell_angle_alpha 90.00
_cell_angle_beta 90.00
_cell_angle_gamma 90.00
_space_group_name_H-M_alt 'C m c m'
_space_group_IT_number 63
_space_group_name_Hall '-C 2c 2'
loop_
_atom_site_label
_atom_site_type_symbol
_atom_site_fract_x
_atom_site_fract_y
_atom_site_fract_z
Cs1 Cs 0.000 0.235 0.250
Na1 Na 0.000 0.458 0.750
Te1 Te 0.000 0.080 0.750
Te2 Te 0.000 0.393 0.503
Pd1 Pd 0.000 0.000 0.000
```

[5]
This record from the Open Quantum Materials Database describes an optimized crystal structure of CsNaPm. The functional is PBE.

Output
For the calculated volume, the calculation gives 715.0 Å³/cell. The calculation puts the energy above the most stable polymorph in this dataset at 0.0 meV per atom. Its magnetization is 0.4542 μB/atom.

CIF file:
```
data_CsNaPm
_cell_length_a 8.942
_cell_length_b 8.942
_cell_length_c 8.942
_cell_angle_alpha 90.00
_cell_angle_beta 90.00
_cell_angle_gamma 90.00
_space_group_name_H-M_alt 'F -4 3 m'
_space_group_IT_number 216
_space_group_name_Hall 'F -4 2 3'
loop_
_atom_site_label
_atom_site_type_symbol
_atom_site_fract_x
_atom_site_fract_y
_atom_site_fract_z
Cs1 Cs 0.000 0.000 0.000
Na1 Na 0.000 0.000 0.500
Pm1 Pm 0.250 0.250 0.250
```

[6]
This record from the Open Quantum Materials Database describes an optimized crystal structure of CsNaPm. The functional is PBE.

Output
For the calculated volume, the calculation gives 601.2 Å³/cell. The calculation puts the energy above the most stable polymorph in this dataset at 110.7 meV per atom. Its magnetization is 0.4979 μB/atom.

CIF file:
```
data_CsNaPm
_cell_length_a 8.440
_cell_length_b 8.440
_cell_length_c 8.440
_cell_angle_alpha 90.00
_cell_angle_beta 90.00
_cell_angle_gamma 90.00
_space_group_name_H-M_alt 'F -4 3 m'
_space_group_IT_number 216
_space_group_name_Hall 'F -4 2 3'
loop_
_atom_site_label
_atom_site_type_symbol
_atom_site_fract_x
_atom_site_fract_y
_atom_site_fract_z
Cs1 Cs 0.000 0.000 0.000
Na1 Na 0.250 0.250 0.250
Pm1 Pm 0.250 0.250 0.750
```

[7]
This record from the Open Quantum Materials Database describes an optimized crystal structure of CsNaPt. The functional is PBE.

Output
For the calculated volume, the calculation gives 438.4 Å³/cell. The calculation puts the energy above the most stable polymorph in this dataset at 0.0 meV per atom. Its magnetization is 0.0001 μB/atom.

CIF file:
```
data_CsNaPt
_cell_length_a 7.597
_cell_length_b 7.597
_cell_length_c 7.597
_cell_angle_alpha 90.00
_cell_angle_beta 90.00
_cell_angle_gamma 90.00
_space_group_name_H-M_alt 'F -4 3 m'
_space_group_IT_number 216
_space_group_name_Hall 'F -4 2 3'
loop_
_atom_site_label
_atom_site_type_symbol
_atom_site_fract_x
_atom_site_fract_y
_atom_site_fract_z
Cs1 Cs 0.000 0.000 0.000
Na1 Na 0.000 0.000 0.500
Pt1 Pt 0.250 0.250 0.250
```

[8]
This record from the Open Quantum Materials Database describes an optimized crystal structure of CsNaPt. The functional is PBE.

Output
For the calculated volume, the calculation gives 417.3 Å³/cell. The calculation puts the energy above the most stable polymorph in this dataset at 354.9 meV per atom. Its magnetization is 0.0002 μB/atom.

CIF file:
```
data_CsNaPt
_cell_length_a 7.473
_cell_length_b 7.473
_cell_length_c 7.473
_cell_angle_alpha 90.00
_cell_angle_beta 90.00
_cell_angle_gamma 90.00
_space_group_name_H-M_alt 'F -4 3 m'
_space_group_IT_number 216
_space_group_name_Hall 'F -4 2 3'
loop_
_atom_site_label
_atom_site_type_symbol
_atom_site_fract_x
_atom_site_fract_y
_atom_site_fract_z
Cs1 Cs 0.000 0.000 0.000
Na1 Na 0.250 0.250 0.750
Pt1 Pt 0.250 0.250 0.250
```

[9]
This record from the Open Quantum Materials Database describes an optimized crystal structure of CsNaPuS3. The functional is PBE.

Output
For the calculated total energy, the calculation gives -146.28 eV per cell. For the calculated volume, the calculation gives 701.7 Å³/cell. Its magnetization is 0.6657 μB/atom.

CIF file:
```
data_CsNaPuS3
_cell_length_a 4.204
_cell_length_b 15.317
_cell_length_c 10.899
_cell_angle_alpha 90.00
_cell_angle_beta 90.00
_cell_angle_gamma 90.00
_space_group_name_H-M_alt 'C m c m'
_space_group_IT_number 63
_space_group_name_Hall '-C 2c 2'
loop_
_atom_site_label
_atom_site_type_symbol
_atom_site_fract_x
_atom_site_fract_y
_atom_site_fract_z
Cs1 Cs 0.000 0.223 0.250
Na1 Na 0.000 0.061 0.750
Pu1 Pu 0.000 0.500 0.000
S1 S 0.000 0.112 0.522
S2 S 0.000 0.459 0.750
```

[10]
This record from the Open Quantum Materials Database describes an optimized crystal structure of CsNaUSe3. The functional is PBE.

Output
For the calculated total energy, the calculation gives -123.61 eV per cell. For the calculated volume, the calculation gives 781.4 Å³/cell. Its magnetization is 0.3329 μB/atom.

CIF file:
```
data_CsNaUSe3
_cell_length_a 4.372
_cell_length_b 15.775
_cell_length_c 11.329
_cell_angle_alpha 90.00
_cell_angle_beta 90.00
_cell_angle_gamma 90.00
_space_group_name_H-M_alt 'C m c m'
_space_group_IT_number 63
_space_group_name_Hall '-C 2c 2'
loop_
_atom_site_label
_atom_site_type_symbol
_atom_site_fract_x
_atom_site_fract_y
_atom_site_fract_z
Cs1 Cs 0.000 0.233 0.250
Na1 Na 0.000 0.054 0.750
U1 U 0.000 0.500 0.000
Se1 Se 0.000 0.117 0.526
Se2 Se 0.000 0.452 0.750
```

[11]
This record from the Open Quantum Materials Database describes an optimized crystal structure of CsNa3Zn2Sn2. The functional is PBE.

Output
For the calculated total energy, the calculation gives -16.25 eV per cell. For the calculated volume, the calculation gives 253.4 Å³/cell.

CIF file:
```
data_CsNa3Zn2Sn2
_cell_length_a 6.276
_cell_length_b 5.813
_cell_length_c 7.265
_cell_angle_alpha 90.00
_cell_angle_beta 107.09
_cell_angle_gamma 90.00
_space_group_name_H-M_alt 'P 1 m 1'
_space_group_IT_number 6
_space_group_name_Hall 'P -2y'
loop_
_atom_site_label
_atom_site_type_symbol
_atom_site_fract_x
_atom_site_fract_y
_atom_site_fract_z
Cs1 Cs 0.000 0.000 0.000
Na1 Na 0.277 0.500 0.339
Na2 Na 0.635 0.000 0.346
Na3 Na 0.919 0.500 0.608
Zn1 Zn 0.434 0.258 0.829
Sn1 Sn 0.208 0.000 0.537
Sn2 Sn 0.671 0.500 0.122
```

[12]
This record from the Open Quantum Materials Database describes an optimized crystal structure of Cs3NaZn2Sn2. The functional is PBE.

Output
For the calculated total energy, the calculation gives -15.56 eV per cell. For the calculated volume, the calculation gives 328.7 Å³/cell.

CIF file:
```
data_Cs3NaZn2Sn2
_cell_length_a 7.023
_cell_length_b 6.697
_cell_length_c 7.325
_cell_angle_alpha 90.00
_cell_angle_beta 107.41
_cell_angle_gamma 90.00
_space_group_name_H-M_alt 'P 1 m 1'
_space_group_IT_number 6
_space_group_name_Hall 'P -2y'
loop_
_atom_site_label
_atom_site_type_symbol
_atom_site_fract_x
_atom_site_fract_y
_atom_site_fract_z
Cs1 Cs 0.000 0.000 0.000
Cs2 Cs 0.068 0.500 0.358
Cs3 Cs 0.704 0.500 0.673
Na1 Na 0.377 0.000 0.689
Zn1 Zn 0.522 0.254 0.158
Sn1 Sn 0.287 0.500 0.914
Sn2 Sn 0.708 0.000 0.426
```

[13]
This record from the Open Quantum Materials Database describes an optimized crystal structure of CsNaTc. The functional is PBE.

Output
For the calculated volume, the calculation gives 499.3 Å³/cell. The calculation puts the energy above the most stable polymorph in this dataset at 178.6 meV per atom. Its magnetization is 1.0003 μB/atom.

CIF file:
```
data_CsNaTc
_cell_length_a 7.933
_cell_length_b 7.933
_cell_length_c 7.933
_cell_angle_alpha 90.00
_cell_angle_beta 90.00
_cell_angle_gamma 90.00
_space_group_name_H-M_alt 'F -4 3 m'
_space_group_IT_number 216
_space_group_name_Hall 'F -4 2 3'
loop_
_atom_site_label
_atom_site_type_symbol
_atom_site_fract_x
_atom_site_fract_y
_atom_site_fract_z
Cs1 Cs 0.000 0.000 0.000
Na1 Na 0.250 0.250 0.750
Tc1 Tc 0.250 0.250 0.250
```